# BaCa2In | Alexandria | PBE-GGA | optimized geometry
data_BaCa2In
_chemical_formula_sum 'Ba1 Ca2 In1'
_cell_length_a 3.930
_cell_length_b 3.930
_cell_length_c 10.333
_cell_angle_alpha 90.00
_cell_angle_beta 90.00
_cell_angle_gamma 90.00
_space_group_name_H-M_alt 'P 4/m m m'
_space_group_IT_number 123
_space_group_name_Hall '-P 4 2'
loop_
_atom_site_label
_atom_site_type_symbol
_atom_site_fract_x
_atom_site_fract_y
_atom_site_fract_z
Ba1 Ba 0.000 0.000 0.000
Ca1 Ca 0.500 0.500 0.317
In1 In 0.000 0.000 0.500
# energy relative to the elements = -0.21 eV/atom
# DOS at the Fermi energy = 4.3 states/eV/cell
# crystal system = tetragonal
# electronic total energy = -9.49 eV for the cell shown

---

# CaAcNd | Alexandria | PBE-GGA | optimized geometry
data_CaAcNd
_chemical_formula_sum 'Ca1 Ac1 Nd1'
_cell_length_a 3.8574
_cell_length_b 3.8574
_cell_length_c 9.4514
_cell_angle_alpha 90.00
_cell_angle_beta 90.00
_cell_angle_gamma 120.00
_space_group_name_H-M_alt 'P 3 m 1'
_space_group_IT_number 156
loop_
_space_group_symop_operation_xyz
'x,y,z'
'-y,x-y,z'
'-x+y,-x,z'
'-y,-x,z'
'-x+y,y,z'
'x,x-y,z'
loop_
_atom_site_label
_atom_site_type_symbol
_atom_site_fract_x
_atom_site_fract_y
_atom_site_fract_z
Ca1 Ca 0.0000 0.0000 0.0000
Ac1 Ac 0.3333 0.6667 0.6477
Nd1 Nd 0.6667 0.3333 0.3303
# energy relative to the elements = 0.04 eV/atom
# DOS at the Fermi energy = 3.9 states/eV/cell
# energy above the lowest structure with this stoichiometry = 0.179 kcal/mol of atoms
# crystal system = trigonal
# electronic total energy = -10.77 eV for the cell shown